Here is a geometry-optimized La12PrCd3 structure from Alexandria. Energies are from GGA-PBE.

Structure (POSCAR):
```
La12PrCd3
1.0
5.1135 0.0000 0.0000
0.0000 5.1135 0.0000
0.0000 0.0000 20.5392
La Pr Cd
12 1 3
Cartesian
0.0000 0.0000 0.0000
0.0000 0.0000 5.0646
0.0000 0.0000 10.2696
0.0000 0.0000 15.4746
0.0000 2.5568 2.5220
0.0000 2.5568 7.5911
0.0000 2.5568 12.9481
0.0000 2.5568 18.0172
2.5568 0.0000 2.5220
2.5568 0.0000 7.5911
2.5568 0.0000 12.9481
2.5568 0.0000 18.0172
2.5568 2.5568 10.2696
2.5568 2.5568 0.0000
2.5568 2.5568 5.0190
2.5568 2.5568 15.5203
```

**N(E_F)**: 23.61 states/eV/cell
**Energy relative to the elements**: -0.09 eV/atom
**M_tot**: 0.0 Bohr magnetons per cell

---

Here is a geometry-optimized CsIn2O3 structure from Alexandria. Energies are from GGA-PBE.

Structure (POSCAR):
```
CsIn2O3
1.0
3.3035 1.9073 7.2336
-3.3035 1.9073 7.2336
0.0000 -3.8145 7.2336
Cs In O
2 4 6
Cartesian
0.0000 0.0000 3.4783
0.0000 0.0000 18.2225
0.0000 0.0000 0.0000
-1.6517 -0.9536 7.2336
-1.6517 0.9536 14.4672
0.0000 1.9073 7.2336
0.0000 -1.8952 8.3569
-1.6413 0.9476 8.3569
-1.6413 -0.9476 13.3439
1.6413 0.9476 8.3569
1.6413 -0.9476 13.3439
0.0000 1.8952 13.3439
```

**N(E_F)**: 4.05 states/eV/cell
**Formation energy without anion corrections**: -1162 meV/atom
**M_tot**: 0.0 Bohr magnetons per cell